## ScTiTlCd (GGA-PBE)

Data for ScTiTlCd after structural relaxation.

The value obtained for the theoretical density is 8.15 g/cm³. Its formation energy is -0.055 eV/atom. As for the density of states at the Fermi level: 0.70 states/eV per atom. As for the crystal system: cubic.

It has space group F-43m (No. 216), with a = 6.9374 Å, b = 6.9374 Å, c = 6.9374 Å, α = 90.00°, β = 90.00° and γ = 90.00°. The asymmetric unit holds Sc at (0.0000, 0.0000, 0.0000), Ti at (0.0000, 0.0000, 0.5000), Tl at (0.2500, 0.2500, 0.2500) and Cd at (0.2500, 0.2500, 0.7500).